1.
Here is an optimized crystal structure of ErTmCdBi from Alexandria. Energies are from GGA-PBE.

Calculated values
N(E_F): 5.231 states/eV per cell
VASP energy: -3.82 eV/atom
formation energy: -0.37 eV per atom
total magnetic moment: 0.0 μB/cell
space-group type: F-43m

a b c (Å): 5.3624 5.3624 5.3624
angles (deg): 60.00 60.00 60.00
Last column: nearest neighbours and their distance in Å.
Sites, in units of the cell vectors:
Cd1 0.2500 0.2500 0.2500  4 Er 3.28, 4 Tm 3.28
Tm1 0.0000 0.0000 0.0000  4 Cd 3.28, 4 Bi 3.28
Er1 0.5000 0.5000 0.5000  4 Cd 3.28, 4 Bi 3.28
Bi1 0.7500 0.7500 0.7500  4 Er 3.28, 4 Tm 3.28



2.
Here is an optimized crystal structure of EuCdBi from Alexandria. Energies are from GGA-PBE.

Calculated values
N(E_F): 10.149 states/eV per cell
VASP energy: -5.48 eV/atom
formation energy: -0.45 eV per atom
total magnetic moment: 7.1 μB/cell
space-group type: P3m1

a b c (Å): 4.5924 4.8982 4.8982
angles (deg): 120.00 90.00 90.00
Last column: nearest neighbours and their distance in Å.
Sites, in units of the cell vectors:
Eu1 0.6513 0.6667 0.3333  3 Cd 3.30, 3 Bi 3.41
Cd1 0.2823 0.3333 0.6667  3 Bi 3.00, 3 Eu 3.30
Bi1 0.0664 0.0000 0.0000  3 Cd 3.00



3.
Here is an optimized crystal structure of EuCd4Bi from Alexandria. Energies are from GGA-PBE.

Calculated values
N(E_F): 10.012 states/eV per cell
VASP energy: -3.16 eV/atom
formation energy: -0.19 eV per atom
total magnetic moment: 7.2 μB/cell
space-group type: F-43m

a b c (Å): 6.0869 6.0869 6.0869
angles (deg): 60.00 60.00 60.00
Last column: nearest neighbours and their distance in Å.
Sites, in units of the cell vectors:
Eu1 0.2500 0.2500 0.2500  12 Cd 3.57, 4 Bi 3.73
Cd1 0.6253 0.6253 0.6253  6 Cd 3.04-3.05
Cd2 0.1240 0.6253 0.6253  6 Cd 3.04-3.05
Cd3 0.6253 0.6253 0.1240  6 Cd 3.04-3.05
Cd4 0.6253 0.1240 0.6253  6 Cd 3.04-3.05
Bi1 0.0000 0.0000 0.0000  12 Cd 3.57, 4 Eu 3.73



4.
Here is an optimized crystal structure of EuCdBi2 from Alexandria. Energies are from GGA-PBE.

Calculated values
N(E_F): 3.027 states/eV per cell
VASP energy: -4.99 eV/atom
formation energy: -0.26 eV per atom
total magnetic moment: 7.3 μB/cell
space-group type: Fm-3m

a b c (Å): 5.5614 5.5614 5.5614
angles (deg): 60.00 60.00 60.00
Last column: nearest neighbours and their distance in Å.
Sites, in units of the cell vectors:
Bi1 0.7500 0.7500 0.7500  4 Eu 3.41, 4 Cd 3.41
Bi2 0.2500 0.2500 0.2500  4 Cd 3.41, 4 Eu 3.41
Cd1 0.5000 0.5000 0.5000  8 Bi 3.41
Eu1 0.0000 0.0000 0.0000  8 Bi 3.41